Density functional theory data (PBE) for AcPm2Sm5Tm after structural relaxation.

Cell: 8.9643 8.9643 10.1015 Å, 116.34 116.34 90.00°
Closest atoms and distances in Å follow each position.
Atoms (fractional coordinates):
Pm (0.3837, 0.8837, 0.0000)  1 Pm 2.95, 2 Sm 3.08
Pm (0.1163, 0.3837, 0.0000)  1 Pm 2.95, 2 Sm 3.08
Pm (0.8837, 0.6163, 0.0000)  1 Pm 2.95, 2 Sm 3.08
Pm (0.6163, 0.1163, 0.0000)  1 Pm 2.95, 2 Sm 3.08
Tm (0.7500, 0.2500, 0.5000)  4 Sm 3.19
Tm (0.2500, 0.7500, 0.5000)  4 Sm 3.19
Sm (0.6620, 0.1620, 0.7343)  1 Pm 3.08, 1 Tm 3.19
Sm (0.9278, 0.4278, 0.2657)  1 Pm 3.08, 1 Tm 3.19
Sm (0.5000, 0.5000, 0.0000)  4 Pm 3.59, 8 Sm 3.84, 2 Ac 3.93
Sm (0.0722, 0.5722, 0.7343)  1 Pm 3.08, 1 Tm 3.19
Sm (0.5722, 0.6620, 0.7343)  1 Pm 3.08, 1 Tm 3.19
Sm (0.8380, 0.9278, 0.2657)  1 Pm 3.08, 1 Tm 3.19
Sm (0.0000, 0.0000, 0.0000)  4 Pm 3.59, 8 Sm 3.84, 2 Ac 3.93
Sm (0.3380, 0.8380, 0.2657)  1 Pm 3.08, 1 Tm 3.19
Sm (0.1620, 0.0722, 0.7343)  1 Pm 3.08, 1 Tm 3.19
Sm (0.4278, 0.3380, 0.2657)  1 Pm 3.08, 1 Tm 3.19
Ac (0.2500, 0.2500, 0.5000)  10 Sm 3.71-3.93
Ac (0.7500, 0.7500, 0.5000)  10 Sm 3.71-3.93

Properties
As for the crystal system: tetragonal. As for the space group: No. 140. Its total magnetization is 0.00 μB per atom.



Density functional theory data (PBE) for AcPmSmTm after structural relaxation.

Cell: 3.5207 7.0263 9.1233 Å, 140.29 90.00 90.00°
Closest atoms and distances in Å follow each position.
Atoms (fractional coordinates):
Sm (0.0000, 0.2164, 0.0164)  2 Tm 3.34, 2 Ac 3.51-3.52, 2 Sm 3.52, 2 Pm 3.69
Pm (0.5000, 0.6786, 0.0163)  2 Pm 3.52, 2 Sm 3.69, 4 Tm 3.77, 4 Ac 3.86
Tm (0.0000, 0.9486, 0.5162)  2 Sm 3.34, 2 Ac 3.43-3.60, 2 Tm 3.52
Ac (0.0000, 0.4369, 0.5164)  2 Tm 3.43-3.60, 2 Sm 3.51-3.52, 2 Ac 3.52

Properties
As for the crystal system: monoclinic. As for the space group: No. 6. The value obtained for the energy above the most stable polymorph in this dataset is 86 meV/atom. Its total magnetization is 0.00 μB per atom.



Density functional theory data (PBE) for AcPm6SmTm2 after structural relaxation.

Cell: 9.7326 8.9921 8.9921 Å, 116.85 93.02 93.02°
Closest atoms and distances in Å follow each position.
Atoms (fractional coordinates):
Pm (0.6184, 0.4850, 0.7072)  4 Pm 3.28-3.61, 3 Tm 3.32-3.51, 2 Sm 3.49-3.62
Pm (0.4450, 0.2463, 0.8849)  7 Pm 3.47-3.87, 1 Tm 3.62, 2 Ac 3.80-3.83
Pm (0.1792, 0.5506, 0.0095)  3 Pm 3.28-3.63, 2 Tm 3.50-3.57, 1 Sm 3.52
Pm (0.3816, 0.5150, 0.2928)  4 Pm 3.28-3.61, 3 Tm 3.32-3.51, 2 Sm 3.49-3.62
Pm (0.6792, 0.0095, 0.5506)  3 Pm 3.28-3.63, 2 Tm 3.50-3.57, 1 Sm 3.52
Pm (0.0550, 0.1151, 0.7537)  7 Pm 3.47-3.87, 1 Tm 3.62, 2 Ac 3.80-3.83
Pm (0.8208, 0.4494, 0.9905)  3 Pm 3.28-3.63, 2 Tm 3.50-3.57, 1 Sm 3.52
Pm (0.8816, 0.2928, 0.5150)  4 Pm 3.28-3.61, 3 Tm 3.32-3.51, 2 Sm 3.49-3.62
Pm (0.1184, 0.7072, 0.4850)  4 Pm 3.28-3.61, 3 Tm 3.32-3.51, 2 Sm 3.49-3.62
Pm (0.3208, 0.9905, 0.4494)  3 Pm 3.28-3.63, 2 Tm 3.50-3.57, 1 Sm 3.52
Pm (0.9450, 0.8849, 0.2463)  7 Pm 3.47-3.87, 1 Tm 3.62, 2 Ac 3.80-3.83
Pm (0.5550, 0.7537, 0.1151)  7 Pm 3.47-3.87, 1 Tm 3.62, 2 Ac 3.80-3.83
Sm (0.7500, 0.5896, 0.4104)  6 Pm 3.49-3.62, 2 Tm 3.60
Sm (0.2500, 0.4104, 0.5896)  6 Pm 3.49-3.62, 2 Tm 3.60
Tm (0.5491, 0.2038, 0.3092)  6 Pm 3.32-3.62, 2 Ac 3.51-3.60, 1 Sm 3.60
Tm (0.0491, 0.3092, 0.2038)  6 Pm 3.32-3.62, 2 Ac 3.51-3.60, 1 Sm 3.60
Tm (0.4509, 0.7962, 0.6908)  6 Pm 3.32-3.62, 2 Ac 3.51-3.60, 1 Sm 3.60
Tm (0.9509, 0.6908, 0.7962)  6 Pm 3.32-3.62, 2 Ac 3.51-3.60, 1 Sm 3.60
Ac (0.2500, 0.9671, 0.0329)  4 Tm 3.51-3.60, 6 Pm 3.68-3.83
Ac (0.7500, 0.0329, 0.9671)  4 Tm 3.51-3.60, 6 Pm 3.68-3.83

Properties
As for the crystal system: monoclinic. As for the space group: No. 15. Its total magnetization is 0.00 μB per atom.



Density functional theory data (PBE) for AcPm2Sm6Tm after structural relaxation.

Cell: 9.6982 9.0761 9.0761 Å, 118.18 92.85 92.85°
Closest atoms and distances in Å follow each position.
Atoms (fractional coordinates):
Sm (0.6885, 0.0136, 0.5624)  4 Sm 3.31-3.67, 2 Pm 3.46-3.64, 1 Tm 3.53
Sm (0.9441, 0.8665, 0.2490)  7 Sm 3.51-3.81, 1 Pm 3.62, 1 Ac 3.86
Sm (0.3840, 0.5029, 0.2876)  4 Sm 3.31-3.56, 3 Pm 3.31-3.48, 2 Tm 3.49-3.60
Sm (0.4441, 0.2490, 0.8665)  7 Sm 3.51-3.81, 1 Pm 3.62, 1 Ac 3.86
Sm (0.6160, 0.4971, 0.7124)  4 Sm 3.31-3.56, 3 Pm 3.31-3.48, 2 Tm 3.49-3.60
Sm (0.1160, 0.7124, 0.4971)  4 Sm 3.31-3.56, 3 Pm 3.31-3.48, 2 Tm 3.49-3.60
Sm (0.3115, 0.9864, 0.4376)  4 Sm 3.31-3.67, 2 Pm 3.46-3.64, 1 Tm 3.53
Sm (0.5559, 0.7510, 0.1335)  7 Sm 3.51-3.81, 1 Pm 3.62, 1 Ac 3.86
Sm (0.8115, 0.4376, 0.9864)  4 Sm 3.31-3.67, 2 Pm 3.46-3.64, 1 Tm 3.53
Sm (0.0559, 0.1335, 0.7510)  7 Sm 3.51-3.81, 1 Pm 3.62, 1 Ac 3.86
Sm (0.8840, 0.2876, 0.5029)  4 Sm 3.31-3.56, 3 Pm 3.31-3.48, 2 Tm 3.49-3.60
Sm (0.1885, 0.5624, 0.0136)  4 Sm 3.31-3.67, 2 Pm 3.46-3.64, 1 Tm 3.53
Ac (0.2500, 0.9760, 0.0240)  4 Pm 3.51-3.61, 4 Sm 3.73-3.86
Ac (0.7500, 0.0240, 0.9760)  4 Pm 3.51-3.61, 4 Sm 3.73-3.86
Pm (0.4537, 0.7983, 0.6821)  6 Sm 3.31-3.64, 2 Ac 3.51-3.61, 1 Tm 3.64
Pm (0.0463, 0.3179, 0.2017)  6 Sm 3.31-3.64, 2 Ac 3.51-3.61, 1 Tm 3.64
Pm (0.9537, 0.6821, 0.7983)  6 Sm 3.31-3.64, 2 Ac 3.51-3.61, 1 Tm 3.64
Pm (0.5463, 0.2017, 0.3179)  6 Sm 3.31-3.64, 2 Ac 3.51-3.61, 1 Tm 3.64
Tm (0.2500, 0.4121, 0.5879)  6 Sm 3.49-3.60, 4 Pm 3.64-3.84
Tm (0.7500, 0.5879, 0.4121)  6 Sm 3.49-3.60, 4 Pm 3.64-3.84

Properties
As for the crystal system: monoclinic. As for the space group: No. 15. Its total magnetization is 0.00 μB per atom.



Density functional theory data (PBE) for AcPmSm6Tm2 after structural relaxation.

Cell: 9.6960 8.9711 8.9711 Å, 116.82 92.92 92.92°
Closest atoms and distances in Å follow each position.
Atoms (fractional coordinates):
Sm (0.4444, 0.2466, 0.8848)  7 Sm 3.46-3.87, 1 Tm 3.61, 2 Ac 3.81-3.82
Sm (0.3821, 0.5157, 0.2924)  4 Sm 3.26-3.59, 3 Tm 3.32-3.50, 2 Pm 3.49-3.61
Sm (0.3217, 0.9895, 0.4497)  3 Sm 3.26-3.62, 2 Tm 3.49-3.54, 1 Pm 3.52
Sm (0.6783, 0.0105, 0.5503)  3 Sm 3.26-3.62, 2 Tm 3.49-3.54, 1 Pm 3.52
Sm (0.1179, 0.7076, 0.4843)  4 Sm 3.26-3.59, 3 Tm 3.32-3.50, 2 Pm 3.49-3.61
Sm (0.6179, 0.4843, 0.7076)  4 Sm 3.26-3.59, 3 Tm 3.32-3.50, 2 Pm 3.49-3.61
Sm (0.8821, 0.2924, 0.5157)  4 Sm 3.26-3.59, 3 Tm 3.32-3.50, 2 Pm 3.49-3.61
Sm (0.0556, 0.1152, 0.7534)  7 Sm 3.46-3.87, 1 Tm 3.61, 2 Ac 3.81-3.82
Sm (0.8217, 0.4497, 0.9895)  3 Sm 3.26-3.62, 2 Tm 3.49-3.54, 1 Pm 3.52
Sm (0.9444, 0.8848, 0.2466)  7 Sm 3.46-3.87, 1 Tm 3.61, 2 Ac 3.81-3.82
Sm (0.5556, 0.7534, 0.1152)  7 Sm 3.46-3.87, 1 Tm 3.61, 2 Ac 3.81-3.82
Sm (0.1783, 0.5503, 0.0105)  3 Sm 3.26-3.62, 2 Tm 3.49-3.54, 1 Pm 3.52
Tm (0.4505, 0.7968, 0.6906)  6 Sm 3.32-3.61, 2 Ac 3.50-3.60, 1 Pm 3.60
Tm (0.0495, 0.3094, 0.2032)  6 Sm 3.32-3.61, 2 Ac 3.50-3.60, 1 Pm 3.60
Tm (0.5495, 0.2032, 0.3094)  6 Sm 3.32-3.61, 2 Ac 3.50-3.60, 1 Pm 3.60
Tm (0.9505, 0.6906, 0.7968)  6 Sm 3.32-3.61, 2 Ac 3.50-3.60, 1 Pm 3.60
Ac (0.7500, 0.0338, 0.9662)  4 Tm 3.50-3.60, 6 Sm 3.67-3.82
Ac (0.2500, 0.9662, 0.0338)  4 Tm 3.50-3.60, 6 Sm 3.67-3.82
Pm (0.2500, 0.4102, 0.5898)  6 Sm 3.49-3.61, 2 Tm 3.60
Pm (0.7500, 0.5898, 0.4102)  6 Sm 3.49-3.61, 2 Tm 3.60

Properties
As for the crystal system: monoclinic. As for the space group: No. 15. Its total magnetization is 0.00 μB per atom.



Density functional theory data (PBE) for AcPm5Sm2Y after structural relaxation.

Cell: 9.0528 9.0528 10.1200 Å, 116.57 116.57 90.00°
Closest atoms and distances in Å follow each position.
Atoms (fractional coordinates):
Y (0.2500, 0.7500, 0.5000)  4 Pm 3.21
Y (0.7500, 0.2500, 0.5000)  4 Pm 3.21
Pm (0.5000, 0.5000, 0.0000)  4 Sm 3.64, 8 Pm 3.85, 2 Ac 3.92
Pm (0.0734, 0.5734, 0.7371)  1 Sm 3.09, 1 Y 3.21
Pm (0.6637, 0.1637, 0.7371)  1 Sm 3.09, 1 Y 3.21
Pm (0.5734, 0.6637, 0.7371)  1 Sm 3.09, 1 Y 3.21
Pm (0.3363, 0.8363, 0.2629)  1 Sm 3.09, 1 Y 3.21
Pm (0.1637, 0.0734, 0.7371)  1 Sm 3.09, 1 Y 3.21
Pm (0.9266, 0.4266, 0.2629)  1 Sm 3.09, 1 Y 3.21
Pm (0.0000, 0.0000, 0.0000)  4 Sm 3.64, 8 Pm 3.85, 2 Ac 3.92
Pm (0.4266, 0.3363, 0.2629)  1 Sm 3.09, 1 Y 3.21
Pm (0.8363, 0.9266, 0.2629)  1 Sm 3.09, 1 Y 3.21
Sm (0.3848, 0.8848, 0.0000)  1 Sm 2.95, 2 Pm 3.09
Sm (0.6152, 0.1152, 0.0000)  1 Sm 2.95, 2 Pm 3.09
Sm (0.8848, 0.6152, 0.0000)  1 Sm 2.95, 2 Pm 3.09
Sm (0.1152, 0.3848, 0.0000)  1 Sm 2.95, 2 Pm 3.09
Ac (0.7500, 0.7500, 0.5000)  10 Pm 3.75-3.92
Ac (0.2500, 0.2500, 0.5000)  10 Pm 3.75-3.92

Properties
As for the crystal system: tetragonal. As for the space group: No. 140. Its total magnetization is 0.00 μB per atom.



Density functional theory data (PBE) for AcPm2SmY6 after structural relaxation.

Cell: 9.7303 8.9970 8.9970 Å, 117.99 93.27 93.27°
Closest atoms and distances in Å follow each position.
Atoms (fractional coordinates):
Y (0.8181, 0.4380, 0.9799)  4 Y 3.29-3.67, 2 Pm 3.48-3.56, 1 Sm 3.57
Y (0.0583, 0.1275, 0.7464)  7 Y 3.47-3.81, 1 Pm 3.59, 1 Ac 3.85, 1 Sm 3.88
Y (0.9417, 0.8725, 0.2536)  7 Y 3.47-3.81, 1 Pm 3.59, 1 Ac 3.85, 1 Sm 3.88
Y (0.3181, 0.9799, 0.4380)  4 Y 3.29-3.67, 2 Pm 3.48-3.56, 1 Sm 3.57
Y (0.4417, 0.2536, 0.8725)  7 Y 3.47-3.81, 1 Pm 3.59, 1 Ac 3.85, 1 Sm 3.88
Y (0.5583, 0.7464, 0.1275)  7 Y 3.47-3.81, 1 Pm 3.59, 1 Ac 3.85, 1 Sm 3.88
Y (0.6819, 0.0201, 0.5620)  4 Y 3.29-3.67, 2 Pm 3.48-3.56, 1 Sm 3.57
Y (0.6148, 0.4928, 0.7087)  4 Y 3.29-3.53, 3 Pm 3.33-3.50, 2 Sm 3.49-3.58
Y (0.3852, 0.5072, 0.2913)  4 Y 3.29-3.53, 3 Pm 3.33-3.50, 2 Sm 3.49-3.58
Y (0.1819, 0.5620, 0.0201)  4 Y 3.29-3.67, 2 Pm 3.48-3.56, 1 Sm 3.57
Y (0.1148, 0.7087, 0.4928)  4 Y 3.29-3.53, 3 Pm 3.33-3.50, 2 Sm 3.49-3.58
Y (0.8852, 0.2913, 0.5072)  4 Y 3.29-3.53, 3 Pm 3.33-3.50, 2 Sm 3.49-3.58
Ac (0.7500, 0.0270, 0.9730)  4 Pm 3.45-3.55, 4 Y 3.69-3.85
Ac (0.2500, 0.9730, 0.0270)  4 Pm 3.45-3.55, 4 Y 3.69-3.85
Pm (0.5487, 0.1952, 0.3073)  6 Y 3.33-3.59, 2 Ac 3.45-3.55, 1 Sm 3.64
Pm (0.4513, 0.8048, 0.6927)  6 Y 3.33-3.59, 2 Ac 3.45-3.55, 1 Sm 3.64
Pm (0.0487, 0.3073, 0.1952)  6 Y 3.33-3.59, 2 Ac 3.45-3.55, 1 Sm 3.64
Pm (0.9513, 0.6927, 0.8048)  6 Y 3.33-3.59, 2 Ac 3.45-3.55, 1 Sm 3.64
Sm (0.2500, 0.4101, 0.5899)  8 Y 3.49-3.88, 2 Pm 3.64
Sm (0.7500, 0.5899, 0.4101)  8 Y 3.49-3.88, 2 Pm 3.64

Properties
As for the crystal system: monoclinic. As for the space group: No. 15. Its total magnetization is 0.00 μB per atom.



Density functional theory data (PBE) for AcPmSm2Y2 after structural relaxation.

Cell: 3.6384 16.4941 7.1336 Å, 90.00 90.00 90.00°
Closest atoms and distances in Å follow each position.
Atoms (fractional coordinates):
Sm (0.5000, 0.8422, 0.7440)  4 Y 3.52-3.61, 2 Pm 3.62, 2 Sm 3.64, 2 Ac 3.66
Sm (0.5000, 0.1578, 0.2560)  4 Y 3.52-3.61, 2 Pm 3.62, 2 Sm 3.64, 2 Ac 3.66
Sm (0.0000, 0.6578, 0.2440)  4 Y 3.52-3.61, 2 Pm 3.62, 2 Sm 3.64, 2 Ac 3.66
Sm (0.0000, 0.3422, 0.7560)  4 Y 3.52-3.61, 2 Pm 3.62, 2 Sm 3.64, 2 Ac 3.66
Ac (0.0000, 0.0000, 0.0000)  2 Pm 3.57, 2 Ac 3.64, 4 Sm 3.66, 4 Y 3.66
Ac (0.5000, 0.5000, 0.5000)  2 Pm 3.57, 2 Ac 3.64, 4 Sm 3.66, 4 Y 3.66
Pm (0.0000, 0.0000, 0.5000)  2 Ac 3.57, 4 Sm 3.62, 2 Pm 3.64, 4 Y 3.67
Pm (0.5000, 0.5000, 0.0000)  2 Ac 3.57, 4 Sm 3.62, 2 Pm 3.64, 4 Y 3.67
Y (0.0000, 0.3401, 0.2506)  4 Sm 3.52-3.61, 2 Y 3.64, 2 Ac 3.66, 2 Pm 3.67
Y (0.5000, 0.8401, 0.2494)  4 Sm 3.52-3.61, 2 Y 3.64, 2 Ac 3.66, 2 Pm 3.67
Y (0.0000, 0.6599, 0.7494)  4 Sm 3.52-3.61, 2 Y 3.64, 2 Ac 3.66, 2 Pm 3.67
Y (0.5000, 0.1599, 0.7506)  4 Sm 3.52-3.61, 2 Y 3.64, 2 Ac 3.66, 2 Pm 3.67

Properties
As for the crystal system: orthorhombic. As for the space group: No. 58. Its total magnetization is 0.00 μB per atom.



Density functional theory data (PBE) for AcPmSm5Y2 after structural relaxation.

Cell: 5.8493 9.2953 12.1360 Å, 90.00 90.00 108.34°
Closest atoms and distances in Å follow each position.
Atoms (fractional coordinates):
Y (0.8896, 0.7792, 0.9245)  7 Sm 3.27-3.58, 1 Y 3.53
Y (0.0618, 0.1237, 0.7761)  3 Sm 3.28-3.60, 1 Y 3.53, 2 Ac 3.55
Y (0.9382, 0.8763, 0.2761)  3 Sm 3.28-3.60, 1 Y 3.53, 2 Ac 3.55
Y (0.1104, 0.2208, 0.4245)  7 Sm 3.27-3.58, 1 Y 3.53
Sm (0.5797, 0.1594, 0.2619)  4 Sm 3.52-3.73, 4 Y 3.57-3.85, 1 Pm 3.58, 1 Ac 3.93
Sm (0.2319, 0.4638, 0.2205)  3 Sm 3.19-3.51, 1 Y 3.27
Sm (0.4203, 0.8406, 0.7619)  4 Sm 3.52-3.73, 4 Y 3.57-3.85, 1 Pm 3.58, 1 Ac 3.93
Sm (0.2312, 0.4624, 0.6292)  2 Sm 3.19, 2 Y 3.27-3.48
Sm (0.0608, 0.1217, 0.0728)  3 Y 3.28-3.60, 1 Sm 3.51, 2 Ac 3.55
Sm (0.7688, 0.5376, 0.1292)  2 Sm 3.19, 2 Y 3.27-3.48
Sm (0.5808, 0.1617, 0.5893)  4 Sm 3.52-3.85, 1 Pm 3.58, 4 Y 3.58-3.72
Sm (0.7681, 0.5362, 0.7205)  3 Sm 3.19-3.51, 1 Y 3.27
Sm (0.4192, 0.8383, 0.0893)  4 Sm 3.52-3.85, 1 Pm 3.58, 4 Y 3.58-3.72
Sm (0.9392, 0.8783, 0.5728)  3 Y 3.28-3.60, 1 Sm 3.51, 2 Ac 3.55
Ac (0.3875, 0.7751, 0.4249)  6 Sm 3.55-3.95, 2 Y 3.55, 2 Pm 3.81
Ac (0.6125, 0.2249, 0.9249)  6 Sm 3.55-3.95, 2 Y 3.55, 2 Pm 3.81
Pm (0.2509, 0.5017, 0.9247)  9 Sm 3.58-3.85, 3 Y 3.79-3.81, 2 Ac 3.81
Pm (0.7491, 0.4983, 0.4247)  9 Sm 3.58-3.85, 3 Y 3.79-3.81, 2 Ac 3.81

Properties
As for the crystal system: orthorhombic. As for the space group: No. 36. Its total magnetization is 0.00 μB per atom.



For reference, formation enthalpy at 0 K by record: 0.264 0.221 0.121 0.120 0.123 0.261 0.125 0.178 0.087 eV/atom.